# PBE with a Hubbard U Tl3PbW2O9, relaxed
data_Tl3PbW2O9
_chemical_formula_sum 'Tl3 Pb1 W2 O9'
_cell_length_a 5.8525
_cell_length_b 5.8525
_cell_length_c 7.9733
_cell_angle_alpha 90.00
_cell_angle_beta 90.00
_cell_angle_gamma 120.00
_space_group_name_H-M_alt 'P -3 m 1'
_space_group_IT_number 164
_space_group_name_Hall '-P 3 2"'
loop_
_atom_site_label
_atom_site_type_symbol
_atom_site_fract_x
_atom_site_fract_y
_atom_site_fract_z
Tl1 Tl 0.0000 0.0000 0.0000
Tl2 Tl 0.3333 0.6667 0.6928
Pb1 Pb 0.0000 0.0000 0.5000
W1 W 0.3333 0.6667 0.1528
O1 O 0.0000 0.5000 0.0000
O2 O 0.1763 0.3525 0.2762
# DOS at the Fermi energy, states/eV per atom: 0.135
# E_tot, eV/atom: -6.057
# M_tot, Bohr magnetons per cell: 0.00